1.
VASP calculation (PBE-GGA) on a relaxed structure of ZnPd2O.

Values from the calculation:
Its raw total energy is -4.04 eV per atom. The formation energy from raw total energies is 10.93 kJ/mol of atoms. The relative energy among the computed polymorphs is 115 meV per atom. Its calculated density is 9.12 g cm⁻³. The magnetization comes out at 1.11 μB/f.u. The density of states at the Fermi level comes out at 1.95 states/eV per atom. The volume is 53.6 Å³/cell.

abc: 4.2313 4.2313 4.2313
angles: 60.00 60.00 60.00
Last column: nearest neighbours and their distance in Å.
Sites, in units of the cell vectors:
1 Zn 0.0000 0.0000 0.0000  8 Pd 2.59
2 Pd 0.2500 0.2500 0.2500  4 O 2.59, 4 Zn 2.59
3 Pd 0.7500 0.7500 0.7500  4 O 2.59, 4 Zn 2.59
4 O 0.5000 0.5000 0.5000  8 Pd 2.59

***

2.
VASP calculation (PBE-GGA) on a relaxed structure of Sc6As7.

Values from the calculation:
Its raw total energy is -5.97 eV per atom. Its calculated density is 4.57 g cm⁻³. The magnetization comes out at 0.45 μB/f.u. The density of states at the Fermi level comes out at 0.65 states/eV per atom. The volume is 288.6 Å³/cell.

abc: 11.6243 11.6243 11.6243
angles: 27.15 27.15 27.15
Last column: nearest neighbours and their distance in Å.
Sites, in units of the cell vectors:
1 Sc 0.0457 0.0457 0.0457  6 As 2.86, 1 Sc 3.07
2 Sc 0.1949 0.1949 0.1949  3 As 2.74
3 Sc 0.3349 0.3349 0.3349  6 As 2.83-2.91, 3 Sc 3.15
4 Sc 0.6651 0.6651 0.6651  6 As 2.83-2.91, 3 Sc 3.15
5 Sc 0.8051 0.8051 0.8051  3 As 2.74
6 Sc 0.9543 0.9543 0.9543  6 As 2.86, 1 Sc 3.07
7 As 0.0698 0.5724 0.5724  4 As 2.71-2.74, 5 Sc 2.74-2.91
8 As 0.4276 0.4276 0.9302  4 As 2.71-2.74, 5 Sc 2.74-2.91
9 As 0.4276 0.9302 0.4276  4 As 2.71-2.74, 5 Sc 2.74-2.91
10 As 0.5000 0.5000 0.5000  6 Sc 3.29, 6 As 3.57
11 As 0.5724 0.0698 0.5724  4 As 2.71-2.74, 5 Sc 2.74-2.91
12 As 0.5724 0.5724 0.0698  4 As 2.71-2.74, 5 Sc 2.74-2.91
13 As 0.9302 0.4276 0.4276  4 As 2.71-2.74, 5 Sc 2.74-2.91

***

3.
VASP calculation (PBE-GGA) on a relaxed structure of AcSb2Pb.

Values from the calculation:
Its raw total energy is -4.46 eV per atom. The formation energy from raw total energies is -42.54 kJ/mol of atoms. The relative energy among the computed polymorphs is 125 meV per atom. Its calculated density is 7.56 g cm⁻³. The magnetization comes out at 0.00 μB/f.u. The density of states at the Fermi level comes out at 0.38 states/eV per atom. The volume is 148.9 Å³/cell.

abc: 7.4594 7.4594 7.4594
angles: 39.16 39.16 39.16
Last column: nearest neighbours and their distance in Å.
Sites, in units of the cell vectors:
1 Ac 0.0000 0.0000 0.0000  6 Sb 3.39-3.42, 1 Pb 3.65
2 Sb 0.4224 0.4224 0.4224  3 Pb 3.20, 1 Sb 3.26, 3 Ac 3.42
3 Sb 0.5805 0.5805 0.5805  1 Sb 3.26, 3 Ac 3.39, 3 Pb 3.44
4 Pb 0.8232 0.8232 0.8232  6 Sb 3.20-3.44

***

4.
VASP calculation (PBE-GGA) on a relaxed structure of CuNi6Pt3.

Values from the calculation:
Its raw total energy is -5.57 eV per atom. Its calculated density is 12.69 g cm⁻³. The magnetization comes out at 4.74 μB/f.u. The density of states at the Fermi level comes out at 1.78 states/eV per atom. The volume is 262.0 Å³/cell.

abc: 3.9753 7.7343 8.5230
angles: 90.00 90.03 90.00
Last column: nearest neighbours and their distance in Å.
Sites, in units of the cell vectors:
1 Cu 0.0000 0.0000 0.0000  6 Ni 2.39-2.54, 2 Pt 2.59
2 Cu 0.0000 0.5000 0.5000  6 Ni 2.39-2.54, 2 Pt 2.59
3 Ni 0.9999 0.1829 0.4243  2 Ni 2.39, 5 Pt 2.44-2.52, 1 Cu 2.54
4 Ni 0.9999 0.3171 0.9243  2 Ni 2.39, 5 Pt 2.44-2.52, 1 Cu 2.54
5 Ni 0.0001 0.6829 0.0757  2 Ni 2.39, 5 Pt 2.44-2.52, 1 Cu 2.54
6 Ni 0.0001 0.8171 0.5757  2 Ni 2.39, 5 Pt 2.44-2.52, 1 Cu 2.54
7 Ni 0.4985 0.1417 0.2093  3 Ni 2.42-2.50
8 Ni 0.4985 0.3583 0.7093  3 Ni 2.42-2.50
9 Ni 0.4999 0.1451 0.9165  2 Cu 2.39, 6 Ni 2.39-2.66, 2 Pt 2.66
10 Ni 0.4999 0.3549 0.4165  2 Cu 2.39, 6 Ni 2.39-2.66, 2 Pt 2.66
11 Ni 0.5001 0.6451 0.5835  2 Cu 2.39, 6 Ni 2.39-2.66, 2 Pt 2.66
12 Ni 0.5001 0.8549 0.0835  2 Cu 2.39, 6 Ni 2.39-2.66, 2 Pt 2.66
13 Ni 0.5015 0.6417 0.2907  3 Ni 2.42-2.50
14 Ni 0.5015 0.8583 0.7907  3 Ni 2.42-2.50
15 Pt 0.9998 0.1063 0.7120  5 Ni 2.44-2.66, 1 Cu 2.59
16 Pt 0.9998 0.3937 0.2120  5 Ni 2.44-2.66, 1 Cu 2.59
17 Pt 0.0002 0.6063 0.7880  5 Ni 2.44-2.66, 1 Cu 2.59
18 Pt 0.0002 0.8937 0.2880  5 Ni 2.44-2.66, 1 Cu 2.59
19 Pt 0.5000 0.0000 0.5000  6 Ni 2.52-2.71, 4 Pt 2.81
20 Pt 0.5000 0.5000 0.0000  6 Ni 2.52-2.71, 4 Pt 2.81

***

5.
VASP calculation (PBE-GGA) on a relaxed structure of TlP2Pb2O7.

Values from the calculation:
Its raw total energy is -6.27 eV per atom. The formation energy from raw total energies is -159.94 kJ/mol of atoms. Its calculated density is 6.02 g cm⁻³. The magnetization comes out at 0.00 μB/f.u. The density of states at the Fermi level comes out at 0.12 states/eV per atom. The volume is 218.5 Å³/cell.

abc: 8.5482 8.5482 8.5482
angles: 38.60 38.60 38.60
Last column: nearest neighbours and their distance in Å.
Sites, in units of the cell vectors:
1 Tl 0.0000 0.0000 0.0000  6 O 3.01
2 P 0.4308 0.4308 0.4308  4 O 1.54-1.64
3 P 0.5692 0.5692 0.5692  4 O 1.54-1.64
4 Pb 0.1914 0.1914 0.1914  3 O 2.42
5 Pb 0.8086 0.8086 0.8086  3 O 2.42
6 O 0.1290 0.4663 0.6464  1 P 1.54
7 O 0.3536 0.5337 0.8710  1 P 1.54
8 O 0.4663 0.6464 0.1290  1 P 1.54
9 O 0.5000 0.5000 0.5000  2 P 1.64
10 O 0.5337 0.8710 0.3536  1 P 1.54
11 O 0.6464 0.1290 0.4663  1 P 1.54
12 O 0.8710 0.3536 0.5337  1 P 1.54

***

6.
VASP calculation (PBE-GGA) on a relaxed structure of Ti5Zn2Ga.

Values from the calculation:
Its raw total energy is -5.89 eV per atom. The relative energy among the computed polymorphs is 0 meV per atom. Its calculated density is 5.74 g cm⁻³. The magnetization comes out at 0.00 μB/f.u. The density of states at the Fermi level comes out at 1.09 states/eV per atom. The volume is 127.2 Å³/cell.

abc: 8.5261 8.5261 8.5261
angles: 153.04 153.04 38.50
Last column: nearest neighbours and their distance in Å.
Sites, in units of the cell vectors:
1 Ti 0.0000 0.0000 0.0000  4 Ga 2.81, 8 Ti 2.84
2 Ti 0.1262 0.6262 0.5000  6 Ti 2.81-2.84, 4 Zn 2.81-2.82, 2 Ga 2.84
3 Ti 0.3738 0.8738 0.5000  6 Ti 2.81-2.84, 4 Zn 2.81-2.82, 2 Ga 2.84
4 Ti 0.6262 0.1262 0.5000  6 Ti 2.81-2.84, 4 Zn 2.81-2.82, 2 Ga 2.84
5 Ti 0.8738 0.3738 0.5000  6 Ti 2.81-2.84, 4 Zn 2.81-2.82, 2 Ga 2.84
6 Zn 0.2502 0.2502 0.0000  4 Zn 2.81, 8 Ti 2.81-2.82
7 Zn 0.7498 0.7498 0.0000  4 Zn 2.81, 8 Ti 2.81-2.82
8 Ga 0.5000 0.5000 0.0000  12 Ti 2.81-2.84

***

7.
VASP calculation (PBE-GGA) on a relaxed structure of BaCaIn2Sn2.

Values from the calculation:
Its raw total energy is -3.35 eV per atom. Its calculated density is 5.44 g cm⁻³. The magnetization comes out at 0.00 μB/f.u. The density of states at the Fermi level comes out at 0.42 states/eV per atom. The volume is 196.7 Å³/cell.

abc: 4.8282 4.8282 9.7425
angles: 90.00 90.00 120.00
Last column: nearest neighbours and their distance in Å.
Sites, in units of the cell vectors:
1 Ba 0.0000 0.0000 0.0000  6 In 3.55
2 Ca 0.0000 0.0000 0.5000  6 Sn 3.32
3 In 0.3333 0.6667 0.7736  3 Sn 2.92
4 In 0.6667 0.3333 0.2264  3 Sn 2.92
5 Sn 0.3333 0.6667 0.3142  3 In 2.92
6 Sn 0.6667 0.3333 0.6858  3 In 2.92

***

8.
VASP calculation (PBE-GGA) on a relaxed structure of ScRuPt2.

Values from the calculation:
Its raw total energy is -7.14 eV per atom. Its calculated density is 13.88 g cm⁻³. The magnetization comes out at 0.00 μB/f.u. The density of states at the Fermi level comes out at 0.91 states/eV per atom. The volume is 64.1 Å³/cell.

abc: 9.2767 9.2767 9.2767
angles: 17.66 17.66 17.66
Last column: nearest neighbours and their distance in Å.
Sites, in units of the cell vectors:
1 Sc 0.0000 0.0000 0.0000  6 Pt 2.83, 6 Sc 2.85
2 Ru 0.5000 0.5000 0.5000  6 Pt 2.79, 6 Ru 2.85
3 Pt 0.2490 0.2490 0.2490  3 Ru 2.79, 3 Sc 2.83, 6 Pt 2.85
4 Pt 0.7510 0.7510 0.7510  3 Ru 2.79, 3 Sc 2.83, 6 Pt 2.85